No. 1
# NaZrZnAu

An optimized crystal structure of NaZrZnAu (PBE, Alexandria via LeMat-Bulk).

Cell and atoms, written as POSCAR:
```
NaZrZnAu
1.0
4.784 0.000 0.000
2.392 4.143 0.000
2.392 1.381 3.906
Au Zr Zn Na
1 1 1 1
Cartesian
4.784 2.762 1.953 Au
7.175 4.143 2.929 Zr
0.000 0.000 0.000 Zn
2.392 1.381 0.976 Na
```

Summary:
Space-group type: F-43m (216)
E_form: -0.129 eV per atom



No. 2
# Li2Cr2Te

An optimized crystal structure of Li2Cr2Te (PBE, Alexandria via LeMat-Bulk).

Cell and atoms, written as POSCAR:
```
Li2Cr2Te
1.0
6.427 0.000 0.000
0.000 6.427 0.000
0.000 0.000 4.345
Cr Li Te
4 4 2
Cartesian
3.860 0.646 0.000 Cr
5.781 3.860 0.000 Cr
0.646 2.568 0.000 Cr
2.568 5.781 0.000 Cr
4.347 5.294 2.173 Li
5.294 2.080 2.173 Li
2.080 1.133 2.173 Li
1.133 4.347 2.173 Li
0.000 0.000 0.000 Te
3.214 3.214 0.000 Te
```

Summary:
Space-group type: P4/mbm (127)
Uncorrected formation energy: 32.2 kJ/mol of atoms
Energy above the most stable polymorph in this dataset: 0 meV/atom



No. 3
# SiSbW2

An optimized crystal structure of SiSbW2 (PBE, Alexandria via LeMat-Bulk).

Cell and atoms, written as POSCAR:
```
SiSbW2
1.0
5.257 -0.008 -0.001
2.307 4.723 0.001
-3.398 -2.974 2.691
W Si Sb
2 1 1
Cartesian
0.144 0.090 0.000 W
2.840 -0.300 1.345 W
1.199 1.962 1.346 Si
3.765 2.347 0.000 Sb
```

Summary:
Space-group type: Imm2 (44)
Uncorrected formation energy: 49.3 kJ/mol of atoms
Energy above the most stable polymorph in this dataset: 344 meV/atom



No. 4
# TbPr6Dy12

An optimized crystal structure of TbPr6Dy12 (PBE, Alexandria via LeMat-Bulk).

Cell and atoms, written as POSCAR:
```
TbPr6Dy12
1.0
-3.933 7.765 1.198
-1.690 -3.575 7.846
8.308 2.479 1.425
Pr Dy Tb
6 12 1
Cartesian
3.370 8.024 5.062 Pr
4.626 1.676 8.783 Pr
4.911 2.035 1.813 Pr
-2.226 4.635 8.656 Pr
-0.685 -1.354 5.407 Pr
-1.941 4.993 1.686 Pr
0.767 6.243 3.529 Dy
4.482 1.979 5.293 Dy
1.267 3.318 8.897 Dy
1.418 3.351 1.572 Dy
-1.322 1.692 3.332 Dy
4.007 4.977 7.137 Dy
1.918 0.426 6.940 Dy
-1.797 4.690 5.176 Dy
-1.221 1.782 6.881 Dy
3.906 4.887 3.588 Dy
2.033 0.243 3.395 Dy
0.652 6.426 7.074 Dy
0.000 0.000 0.000 Tb
```

Summary:
Space-group type: R-3m (166)
E_form: 0.215 eV per atom
Energy above the most stable polymorph in this dataset: 0 meV/atom



No. 5
# Lu2FeIr

An optimized crystal structure of Lu2FeIr (PBE, Alexandria via LeMat-Bulk).

Cell and atoms, written as POSCAR:
```
Lu2FeIr
1.0
3.257 0.000 0.000
0.000 4.780 0.000
0.000 0.000 4.780
Lu Fe Ir
2 1 1
Cartesian
0.000 0.000 2.390 Lu
0.000 2.390 0.000 Lu
1.628 2.390 2.390 Fe
1.628 0.000 0.000 Ir
```

Summary:
Space-group type: P4/mmm (123)
E_form: -0.456 eV per atom



No. 6
# Ca2BeAlAu6

An optimized crystal structure of Ca2BeAlAu6 (PBE, Alexandria via LeMat-Bulk).

Cell and atoms, written as POSCAR:
```
Ca2BeAlAu6
1.0
-5.877 2.329 -2.247
2.150 -0.729 -6.320
-3.582 -3.627 -4.347
Au Al Be Ca
6 1 1 2
Cartesian
-7.551 -2.024 -7.561 Au
-4.467 -3.246 -6.383 Au
-4.544 -0.505 -8.597 Au
0.243 -0.003 -5.353 Au
-2.765 -1.522 -4.317 Au
-2.842 1.219 -6.532 Au
-1.863 0.800 -4.284 Al
0.000 0.000 0.000 Be
-5.661 -0.248 -5.439 Ca
-1.648 -1.779 -7.475 Ca
```

Summary:
Space-group type: C2/m (12)
E_form: -0.435 eV per atom